Here is crystalline SrTeSe at its relaxed geometry from the Alexandria database. Energies are from GGA-PBEsol.

Values from the calculation:
For the calculated density, the calculation gives 4.866 g/cm3. The uncorrected formation energy comes out at -221 kJ/mol of formula units.

Cell: 5.217 5.217 5.217 Å, 60.00 60.00 60.00°
Fractional positions:
Sr 0.250 0.250 0.250
Te 0.000 0.000 0.000
Se 0.500 0.500 0.500

***

Here is crystalline As2S3 at its relaxed geometry from the Alexandria database. Energies are from GGA-PBEsol.

Values from the calculation:
For the calculated density, the calculation gives 3.716 g/cm3. The uncorrected formation energy comes out at -62 kJ/mol of formula units.

Cell: 4.037 9.468 11.509 Å, 90.00 89.46 90.00°
Fractional positions:
As 0.132 0.824 0.987
As 0.368 0.324 0.513
As 0.868 0.176 0.013
As 0.632 0.676 0.487
As 0.631 0.691 0.762
As 0.869 0.191 0.738
As 0.369 0.309 0.238
As 0.131 0.809 0.262
S 0.960 0.795 0.619
S 0.540 0.295 0.881
S 0.040 0.205 0.381
S 0.460 0.705 0.119
S 0.503 0.904 0.845
S 0.997 0.404 0.655
S 0.497 0.096 0.155
S 0.003 0.596 0.345
S 0.504 0.882 0.399
S 0.996 0.382 0.101
S 0.496 0.118 0.601
S 0.004 0.618 0.899

***

Here is crystalline LaNi2Os at its relaxed geometry from the Alexandria database. Energies are from GGA-PBEsol.

Values from the calculation:
For the energy above the most stable polymorph in this dataset, the calculation gives 0.0323 eV/atom. For the formation energy from the elements, the calculation gives 0.2668 eV/atom. For the calculated density, the calculation gives 12.194 g/cm3.

Cell: 3.028 4.481 4.481 Å, 90.00 90.00 90.00°
Fractional positions:
La 0.500 0.000 0.000
Ni 0.000 0.000 0.500
Ni 0.000 0.500 0.000
Os 0.500 0.500 0.500

***

Here is crystalline LaHfAu2O at its relaxed geometry from the Alexandria database. Energies are from GGA-PBEsol.

Values from the calculation:
For the calculated density, the calculation gives 12.051 g/cm3. The uncorrected formation energy comes out at -136 kJ/mol of formula units.

Cell: 4.414 4.765 4.765 Å, 90.00 90.00 90.00°
Fractional positions:
Hf 0.500 0.500 0.500
Au 0.000 0.000 0.500
Au 0.000 0.500 0.000
O 0.000 0.000 0.000
La 0.500 0.000 0.000

***

Here is crystalline HfGaSe3 at its relaxed geometry from the Alexandria database. Energies are from GGA-PBEsol.

Values from the calculation:
For the calculated density, the calculation gives 7.350 g/cm3. The uncorrected formation energy comes out at 63 kJ/mol of formula units.

Cell: 4.786 4.786 4.786 Å, 90.00 90.00 90.00°
Fractional positions:
Hf 0.500 0.500 0.500
Ga 0.000 0.000 0.000
Se 0.000 0.500 0.000
Se 0.000 0.000 0.500
Se 0.500 0.000 0.000

***

Here is crystalline NbFeSe3 at its relaxed geometry from the Alexandria database. Energies are from GGA-PBEsol.

Values from the calculation:
For the calculated density, the calculation gives 6.788 g/cm3. The uncorrected formation energy comes out at 209 kJ/mol of formula units.

Cell: 4.552 4.552 4.552 Å, 90.00 90.00 90.00°
Fractional positions:
Nb 0.500 0.500 0.500
Fe 0.000 0.000 0.000
Se 0.000 0.500 0.000
Se 0.000 0.000 0.500
Se 0.500 0.000 0.000